Below is an optimized crystal structure of SrLiSb, with properties calculated at the PBE-GGA level.

Properties
ΔE_f (raw)	-2.8	eV per formula unit
magnetic moment	0.0	μB/cell
space-group type	P2_1/m

a = 4.793 Å, b = 7.896 Å, c = 13.450 Å
α = 90.15°, β = 90.00°, γ = 90.00°
Fractional positions:
Sr 0.750 0.507 0.370
Sr 0.250 0.995 0.691
Sr 0.250 0.335 0.924
Sr 0.250 0.493 0.630
Sr 0.750 0.005 0.309
Sr 0.750 0.665 0.076
Li 0.750 0.151 0.544
Li 0.250 0.849 0.456
Li 0.750 0.660 0.794
Li 0.250 0.340 0.206
Li 0.750 0.005 0.908
Li 0.250 0.995 0.092
Sb 0.250 0.225 0.434
Sb 0.750 0.277 0.754
Sb 0.250 0.723 0.246
Sb 0.750 0.775 0.566
Sb 0.250 0.774 0.903
Sb 0.750 0.226 0.097